# TaTeSe2Br, single point on PBEsol structure, DFT meta-GGA SCAN
# density = 7.26 Mg/m³
# size of the total moment = 0.33 μB per atom
# volume = 25.0 Å³/atom
# calculated total energy = -163.182 eV per cell
data_TaTeSe2Br
_chemical_formula_sum 'Ta1 Te1 Se2 Br1'
_cell_length_a 5.006
_cell_length_b 5.006
_cell_length_c 4.985
_cell_angle_alpha 90.00
_cell_angle_beta 90.00
_cell_angle_gamma 90.00
_space_group_name_H-M_alt 'P 1'
_space_group_IT_number 1
_space_group_name_Hall 'P 1'
loop_
_atom_site_label
_atom_site_type_symbol
_atom_site_fract_x
_atom_site_fract_y
_atom_site_fract_z
Se1 Se 0.500 0.000 0.000
Te1 Te 0.500 0.500 0.500
Br1 Br 0.000 0.000 0.500
Se2 Se 0.000 0.500 0.000
Ta1 Ta 0.000 0.000 0.000

***

# TaTiSe2Br, single point on PBEsol structure, DFT meta-GGA SCAN
# density = 6.81 Mg/m³
# size of the total moment = 0.80 μB per atom
# volume = 22.8 Å³/atom
# calculated total energy = -140.419 eV per cell
data_TaTiSe2Br
_chemical_formula_sum 'Ta1 Ti1 Se2 Br1'
_cell_length_a 4.756
_cell_length_b 4.892
_cell_length_c 4.892
_cell_angle_alpha 90.00
_cell_angle_beta 90.00
_cell_angle_gamma 90.00
_space_group_name_H-M_alt 'P 1'
_space_group_IT_number 1
_space_group_name_Hall 'P 1'
loop_
_atom_site_label
_atom_site_type_symbol
_atom_site_fract_x
_atom_site_fract_y
_atom_site_fract_z
Ti1 Ti 0.000 0.000 0.000
Se1 Se 0.000 0.500 0.000
Br1 Br 0.500 0.000 0.000
Se2 Se 0.000 0.000 0.500
Ta1 Ta 0.500 0.500 0.500

***

# TcSe2Br, single point on PBEsol structure, DFT meta-GGA SCAN
# density = 6.33 Mg/m³
# size of the total moment = 0.00 μB per atom
# volume = 22.0 Å³/atom
# calculated total energy = -192.429 eV per cell
data_TcSe2Br
_chemical_formula_sum 'Tc2 Se4 Br2'
_cell_length_a 3.282
_cell_length_b 6.828
_cell_length_c 8.319
_cell_angle_alpha 81.22
_cell_angle_beta 78.62
_cell_angle_gamma 76.09
_space_group_name_H-M_alt 'P 1'
_space_group_IT_number 1
_space_group_name_Hall 'P 1'
loop_
_atom_site_label
_atom_site_type_symbol
_atom_site_fract_x
_atom_site_fract_y
_atom_site_fract_z
Se1 Se 0.594 0.626 0.187
Br1 Br 0.172 0.244 0.412
Tc1 Tc 0.743 0.623 0.892
Br2 Br 0.828 0.756 0.588
Se2 Se 0.406 0.374 0.813
Se3 Se 0.100 0.930 0.869
Tc2 Tc 0.257 0.377 0.108
Se4 Se 0.900 0.070 0.131

***

# TcSe2Br, single point on PBEsol structure, DFT meta-GGA SCAN
# density = 7.02 Mg/m³
# size of the total moment = 0.00 μB per atom
# volume = 19.9 Å³/atom
# calculated total energy = -95.112 eV per cell
data_TcSe2Br
_chemical_formula_sum 'Tc1 Se2 Br1'
_cell_length_a 3.277
_cell_length_b 5.380
_cell_length_c 5.123
_cell_angle_alpha 118.41
_cell_angle_beta 90.00
_cell_angle_gamma 90.00
_space_group_name_H-M_alt 'P 1'
_space_group_IT_number 1
_space_group_name_Hall 'P 1'
loop_
_atom_site_label
_atom_site_type_symbol
_atom_site_fract_x
_atom_site_fract_y
_atom_site_fract_z
Se1 Se 0.000 0.889 0.695
Se2 Se 0.000 0.111 0.305
Tc1 Tc 0.500 0.500 0.500
Br1 Br 0.500 0.500 0.000

***

# TcSe2Br, single point on PBEsol structure, DFT meta-GGA SCAN
# density = 7.66 Mg/m³
# size of the total moment = 0.57 μB per atom
# volume = 18.2 Å³/atom
# calculated total energy = -91.007 eV per cell
data_TcSe2Br
_chemical_formula_sum 'Tc1 Se2 Br1'
_cell_length_a 3.222
_cell_length_b 5.068
_cell_length_c 5.068
_cell_angle_alpha 118.43
_cell_angle_beta 90.00
_cell_angle_gamma 90.00
_space_group_name_H-M_alt 'P 1'
_space_group_IT_number 1
_space_group_name_Hall 'P 1'
loop_
_atom_site_label
_atom_site_type_symbol
_atom_site_fract_x
_atom_site_fract_y
_atom_site_fract_z
Br1 Br 0.500 0.500 0.500
Se1 Se 0.000 0.000 0.500
Tc1 Tc 0.500 0.000 0.000
Se2 Se 0.000 0.500 0.000

***

# Tc2SeBr, single point on PBEsol structure, DFT meta-GGA SCAN
# density = 8.80 Mg/m³
# size of the total moment = 0.00 μB per atom
# volume = 16.7 Å³/atom
# calculated total energy = -106.054 eV per cell
data_Tc2SeBr
_chemical_formula_sum 'Tc2 Se1 Br1'
_cell_length_a 3.004
_cell_length_b 3.122
_cell_length_c 8.147
_cell_angle_alpha 90.00
_cell_angle_beta 90.00
_cell_angle_gamma 118.75
_space_group_name_H-M_alt 'P 1'
_space_group_IT_number 1
_space_group_name_Hall 'P 1'
loop_
_atom_site_label
_atom_site_type_symbol
_atom_site_fract_x
_atom_site_fract_y
_atom_site_fract_z
Se1 Se 0.500 0.000 0.000
Tc1 Tc 0.000 0.000 0.770
Br1 Br 0.500 0.000 0.500
Tc2 Tc 0.000 0.000 0.230